[1]
Below is a relaxed structure of ScCrP2S, with properties calculated at the PBE-GGA level. Values from VASP.

Structure (Quantum ESPRESSO input):
```
&SYSTEM
  ibrav = 0, nat = 5, ntyp = 4
/
ATOMIC_SPECIES
Sc 44.96 Sc.upf
Cr 52.00 Cr.upf
S 32.06 S.upf
P 30.97 P.upf
ATOMIC_POSITIONS crystal
Sc 0.000 0.000 0.000
Cr 0.500 0.500 0.500
S 0.000 0.000 0.500
P 0.000 0.500 0.000
P 0.500 0.000 0.000
CELL_PARAMETERS angstrom
-2.005 3.397 2.928
-3.657 -3.095 1.086
2.555 -1.709 3.732
```

## Properties
- volume (Å³ per cell) = 117
- E_form (uncorrected) (eV/atom) = 0.41
- offset from the most stable computed form (eV/f.u.) = 2.713
- DOS(E_F) (states/eV/f.u.) = 3.27


[2]
Below is a relaxed structure of CeMgHg, with properties calculated at the PBE-GGA level. Values from VASP.

Structure (Quantum ESPRESSO input):
```
&SYSTEM
  ibrav = 0, nat = 3, ntyp = 3
/
ATOMIC_SPECIES
Mg 24.30 Mg.upf
Hg 200.59 Hg.upf
Ce 140.12 Ce.upf
ATOMIC_POSITIONS crystal
Mg 0.166 0.000 0.000
Hg 0.167 0.333 0.667
Ce 0.667 0.667 0.333
CELL_PARAMETERS angstrom
-0.298 -2.907 -1.659
3.805 -1.958 2.748
-4.798 -0.437 1.627
```

## Properties
- volume (Å³ per cell) = 75
- E_form (eV per atom) = -0.24
- DOS(E_F) (states/eV/f.u.) = 6.84